Run 1
Compound: Pr4Pb2C
Source: the Alexandria database
Functional: PBE-GGA
Structure: optimized geometry

The density of states at the Fermi level is 1.82 states/eV/f.u. The calculation puts the total magnetic moment at 0.00 μB/f.u. The density is 7.57 g/cm3.

The structure in extended XYZ format:
```
7
Lattice="-2.539 2.539 8.426 2.539 -2.539 8.426 2.539 2.539 -8.426" Properties=species:S:1:pos:R:3 pbc="T T T"
Pr 2.539 0.000 0.000
Pr 0.000 0.000 2.716
Pr 0.000 2.539 0.000
Pr 0.000 0.000 14.136
Pb 0.000 0.000 6.062
Pb 0.000 0.000 10.790
C 0.000 0.000 0.000
```


Run 2
Compound: Pr4Pb2C
Source: the Alexandria database
Functional: PBE-GGA
Structure: optimized geometry

The density of states at the Fermi level is 1.46 states/eV/f.u. The calculation puts the total magnetic moment at 0.00 μB/f.u. The density is 7.42 g/cm3.

The structure in extended XYZ format:
```
14
Lattice="6.933 0.000 0.000 0.000 7.017 0.000 -3.446 0.000 9.110" Properties=species:S:1:pos:R:3 pbc="T T T"
Pr 0.985 1.754 0.562
Pr -0.845 3.519 6.657
Pr -0.845 7.006 6.657
Pr 0.732 5.263 3.173
Pr 2.755 1.754 5.937
Pr 4.332 0.011 2.453
Pr 4.332 3.498 2.453
Pr 2.502 5.263 8.548
Pb 0.097 1.754 3.836
Pb 2.266 5.263 0.340
Pb 1.221 1.754 8.771
Pb 3.390 5.263 5.274
C -2.226 1.754 7.303
C 5.713 5.263 1.807
```


Stability, lowest: run 2


Run 1
Compound: Pt2PbC
Source: the Alexandria database
Functional: PBE-GGA
Structure: optimized geometry

The density of states at the Fermi level is 3.44 states/eV/f.u. The calculation puts the total magnetic moment at 0.00 μB/f.u. The density is 15.29 g/cm3.

The structure in extended XYZ format:
```
4
Lattice="0.000 3.211 3.211 3.211 0.000 3.211 3.211 3.211 0.000" Properties=species:S:1:pos:R:3 pbc="T T T"
Pt 1.605 1.605 1.605
Pt 4.816 4.816 4.816
Pb 0.000 0.000 0.000
C 3.211 3.211 3.211
```


Run 2
Compound: Pt2PbC
Source: the Alexandria database
Functional: PBE-GGA
Structure: optimized geometry

The density of states at the Fermi level is 1.52 states/eV/f.u. The calculation puts the total magnetic moment at 0.00 μB/f.u. The density is 12.79 g/cm3.

The structure in extended XYZ format:
```
8
Lattice="-2.692 2.692 5.461 2.692 -2.692 5.461 2.692 2.692 -5.461" Properties=species:S:1:pos:R:3 pbc="T T T"
Pt 0.657 1.346 1.365
Pt -1.346 2.034 4.096
Pt -0.657 4.038 1.365
Pt 1.346 3.349 4.096
Pb 2.692 0.000 2.730
Pb 0.000 0.000 5.461
C 0.000 0.000 0.000
C 0.000 2.692 2.730
```


Stability, lowest: run 1


Run 1
Compound: PtPbC3
Source: the Alexandria database
Functional: PBE-GGA
Structure: optimized geometry

The density of states at the Fermi level is 4.53 states/eV/f.u. The calculation puts the total magnetic moment at 0.00 μB/f.u. The density is 10.23 g/cm3.

The structure in extended XYZ format:
```
5
Lattice="4.144 0.000 0.000 0.000 4.144 0.000 0.000 0.000 4.144" Properties=species:S:1:pos:R:3 pbc="T T T"
Pt 0.000 0.000 0.000
Pb 2.072 2.072 2.072
C 0.000 0.000 2.072
C 0.000 2.072 0.000
C 2.072 0.000 0.000
```


Run 2
Compound: PtPbC3
Source: the Alexandria database
Functional: PBE-GGA
Structure: optimized geometry

The density of states at the Fermi level is 4.22 states/eV/f.u. The calculation puts the total magnetic moment at 0.00 μB/f.u. The density is 8.69 g/cm3.

The structure in extended XYZ format:
```
5
Lattice="4.376 0.000 0.000 0.000 4.376 0.000 0.000 0.000 4.376" Properties=species:S:1:pos:R:3 pbc="T T T"
Pt 0.000 0.000 0.000
Pb 2.188 2.188 2.188
C 0.000 2.188 2.188
C 2.188 0.000 2.188
C 2.188 2.188 0.000
```


Stability, lowest: run 2